(1)
The following is a PBE calculation of a geometry-optimized KRbSr2Rh structure, from Alexandria via LeMat-Bulk.

abc: 5.9134 5.9134 6.8255
angles: 90.00 90.00 90.00
Positions (direct):
K1 0.0000 0.0000 0.0000
Rb1 0.5000 0.5000 0.0000
Sr1 0.0000 0.5000 0.5000
Sr2 0.5000 0.0000 0.5000
Rh1 0.0000 0.0000 0.5000

Relative energy among the computed polymorphs   0.0000 eV per atom

***

(2)
The following is a PBE calculation of a geometry-optimized KRbSr2Rh structure, from Alexandria via LeMat-Bulk.

abc: 5.9060 5.9060 6.9543
angles: 90.00 90.00 90.00
Positions (direct):
K1 0.0000 0.0000 0.0000
Rb1 0.5000 0.5000 0.0000
Sr1 0.0000 0.5000 0.5000
Sr2 0.5000 0.0000 0.5000
Rh1 0.5000 0.5000 0.5000

Relative energy among the computed polymorphs   0.0124 eV per atom

***

(3)
The following is a PBE calculation of a geometry-optimized KRbTl2Rh structure, from Alexandria via LeMat-Bulk.

abc: 5.3804 5.3804 6.2381
angles: 90.00 90.00 90.00
Positions (direct):
K1 0.0000 0.0000 0.0000
Rb1 0.5000 0.5000 0.0000
Tl1 0.0000 0.5000 0.5000
Tl2 0.5000 0.0000 0.5000
Rh1 0.5000 0.5000 0.5000

Relative energy among the computed polymorphs   0.0440 eV per atom

***

(4)
The following is a PBE calculation of a geometry-optimized KRbTlRh2 structure, from Alexandria via LeMat-Bulk.

abc: 5.2050 5.2050 6.1657
angles: 90.00 90.00 90.00
Positions (direct):
K1 0.0000 0.0000 0.0000
Rb1 0.5000 0.5000 0.0000
Tl1 0.5000 0.5000 0.5000
Rh1 0.0000 0.5000 0.5000
Rh2 0.5000 0.0000 0.5000

***

(5)
The following is a PBE calculation of a geometry-optimized KRbTl2Rh structure, from Alexandria via LeMat-Bulk.

abc: 5.3769 5.3769 6.1072
angles: 90.00 90.00 90.00
Positions (direct):
K1 0.0000 0.0000 0.0000
Rb1 0.5000 0.5000 0.0000
Tl1 0.0000 0.5000 0.5000
Tl2 0.5000 0.0000 0.5000
Rh1 0.0000 0.0000 0.5000

Relative energy among the computed polymorphs   0.0000 eV per atom

***

(6)
The following is a PBE calculation of a geometry-optimized KRbRh2W structure, from Alexandria via LeMat-Bulk.

abc: 4.9433 4.9433 5.1130
angles: 90.00 90.00 90.00
Positions (direct):
K1 0.0000 0.0000 0.0000
Rb1 0.0000 0.0000 0.5000
Rh1 0.0000 0.5000 0.0000
Rh2 0.5000 0.0000 0.0000
W1 0.5000 0.5000 0.5000

***

no.,V (Å³/cell),density of states at the Fermi level (states/eV/f.u.),formation energy from the elements (eV/atom)
1,238.7,3.59,0.0708
2,242.6,4.03,0.0831
3,180.6,2.45,0.0448
4,167.0,6.40,0.7742
5,176.6,2.36,0.0007
6,124.9,8.99,2.7050